Entry 1:
PBE-GGA SmThS4, optimized geometry; formation energy (no corrections) = -1.562 eV/atom; symmetry = No. 14
1.0
-5.938 0.384 -3.498
2.712 -3.727 -5.015
-1.894 -5.667 3.187
Th S Sm
2 8 2
direct
0.500 0.500 0.000
0.000 0.000 0.000
0.878 0.123 0.377
0.652 0.148 0.860
0.122 0.877 0.623
0.152 0.352 0.860
0.848 0.648 0.140
0.348 0.852 0.140
0.622 0.623 0.623
0.378 0.377 0.377
0.000 0.500 0.500
0.500 0.000 0.500

Entry 2:
PBE-GGA Sm3ThS6, optimized geometry; formation energy (no corrections) = -2.034 eV/atom; symmetry = No. 11
1.0
4.014 0.000 0.000
0.000 11.235 0.116
0.000 -3.642 10.933
S Sm Th
12 6 2
direct
0.750 0.749 0.278
0.250 0.082 0.899
0.250 0.600 0.934
0.250 0.888 0.537
0.250 0.186 0.251
0.250 0.251 0.722
0.750 0.814 0.749
0.250 0.521 0.386
0.750 0.112 0.463
0.750 0.918 0.101
0.750 0.479 0.614
0.750 0.400 0.066
0.750 0.680 0.503
0.250 0.320 0.497
0.750 0.162 0.080
0.750 0.427 0.833
0.250 0.573 0.167
0.250 0.838 0.920
0.250 0.953 0.307
0.750 0.047 0.693

Entry 3:
PBE-GGA Sm2Th2S7, optimized geometry; formation energy (no corrections) = -2.010 eV/atom; symmetry = No. 44
1.0
-3.866 -1.211 -0.525
0.080 -8.201 2.439
-2.626 -1.937 7.910
S Sm Th
7 2 2
direct
0.813 0.072 0.301
0.500 0.014 0.986
0.387 0.721 0.505
0.140 0.142 0.579
0.860 0.421 0.858
0.187 0.699 0.928
0.613 0.495 0.279
0.000 0.794 0.206
0.500 0.335 0.665
0.262 0.319 0.158
0.738 0.842 0.681

Magnetic moment (Bohr magnetons per cell)
1.989; 0.000; 0.000